[1]
The following is a DFT calculation (GGA-PBE) of a relaxed ZrBIr crystal.

Values from the calculation:
- Energy above the most stable polymorph in this dataset: 0 meV per atom
- Energy: -23.4 eV per formula unit

a = 5.900 Å, b = 5.900 Å, c = 5.900 Å
α = 90.00°, β = 90.00°, γ = 90.00°
Space group F-43m (No. 216)
Inequivalent atoms, fractional coordinates:
Zr: 0.000 0.000 0.000
B: 0.000 0.000 0.500
Ir: 0.250 0.250 0.750



[2]
The following is a DFT calculation (GGA-PBE) of a relaxed LiSmGe crystal.

Values from the calculation:
- Energy: -13.3 eV per formula unit

a = 7.302 Å, b = 4.297 Å, c = 8.219 Å
α = 90.00°, β = 90.00°, γ = 90.00°
Space group Pnma (No. 62)
Inequivalent atoms, fractional coordinates:
Li: 0.138 0.250 0.058
Sm: 0.026 0.250 0.691
Ge: 0.242 0.750 0.884